Entry from Alexandria: a geometry-optimized ZnIrOs2 structure (PBE).

energy relative to the elements = 0.378 eV/atom
space group = Cmm2 (35)
crystal system = orthorhombic
magnetic moment = 1.2 μB/cell

```
ZnIrOs2
1.0
1.377 -2.353 0.000
1.377 2.353 0.000
0.000 0.000 9.099
Zn Ir Os
1 1 2
Direct
0.000 0.000 0.000 Zn
0.500 0.500 0.244 Ir
0.000 0.000 0.500 Os
0.500 0.500 0.748 Os
```